A plane-wave DFT calculation with PBE-GGA was carried out for LiSm5Au6 after structural relaxation.

abc: 5.126 8.880 8.880
angles: 119.68 106.71 106.71
Sites, in units of the cell vectors:
Au: 0.741 0.913 0.570
Sm: 0.500 0.154 0.846
Sm: 0.500 0.846 0.154
Au: 0.259 0.430 0.087
Sm: 0.500 0.500 0.500
Sm: 0.000 0.670 0.330
Au: 0.259 0.087 0.430
Au: 0.741 0.570 0.913
Sm: 0.000 0.330 0.670
Au: 0.232 0.733 0.733
Li: 0.000 0.000 0.000
Au: 0.768 0.267 0.267

Computed properties:
- formation energy from the elements (eV/atom) = -0.74
- space-group type = C2/m, No. 12

A plane-wave DFT calculation with PBE-GGA was carried out for SnGeF2 after structural relaxation.

abc: 4.539 4.539 4.539
angles: 60.00 60.00 60.00
Sites, in units of the cell vectors:
F: 0.750 0.750 0.750
Sn: 0.500 0.500 0.500
F: 0.250 0.250 0.250
Ge: 0.000 0.000 0.000

Computed properties:
- uncorrected formation energy (kJ/mol of atoms) = -88
- space-group type = Fm-3m, No. 225

A plane-wave DFT calculation with PBE-GGA was carried out for TaCdGe2S after structural relaxation.

abc: 5.162 5.162 4.686
angles: 90.00 90.00 90.00
Sites, in units of the cell vectors:
Ta: 0.000 0.000 0.000
Ge: 0.000 0.500 0.000
Cd: 0.500 0.500 0.500
Ge: 0.500 0.000 0.000
S: 0.000 0.000 0.500

Computed properties:
- uncorrected formation energy (kJ/mol of atoms) = 20
- space-group type = P4/mmm, No. 123

A plane-wave DFT calculation with PBE-GGA was carried out for Cd3GeH after structural relaxation.

abc: 5.274 5.274 5.274
angles: 90.00 90.00 90.00
Sites, in units of the cell vectors:
H: 0.500 0.500 0.500
Cd: 0.000 0.500 0.000
Ge: 0.000 0.000 0.000
Cd: 0.000 0.000 0.500
Cd: 0.500 0.000 0.000

Computed properties:
- uncorrected energy (eV per atom) = -1.515
- space-group type = Pm-3m, No. 221

A plane-wave DFT calculation with PBE-GGA was carried out for PPt2Pb after structural relaxation.

abc: 5.241 5.241 5.241
angles: 134.68 134.68 66.03
Sites, in units of the cell vectors:
Pt: 0.000 0.000 0.000
P: 0.500 0.500 0.000
Pt: 0.250 0.750 0.500
Pb: 0.750 0.250 0.500

Computed properties:
- formation energy from the elements (eV/atom) = 0.21
- space-group type = I-4m2, No. 119

A plane-wave DFT calculation with PBE-GGA was carried out for Pu2CoTc after structural relaxation.

abc: 2.888 2.888 9.782
angles: 81.51 81.51 60.00
Sites, in units of the cell vectors:
Pu: 0.912 0.912 0.264
Pu: 0.088 0.088 0.736
Tc: 0.000 0.000 0.000
Co: 0.500 0.500 0.500

Computed properties:
- formation energy from the elements (eV/atom) = 0.55
- space-group type = R-3m, No. 166

A plane-wave DFT calculation with PBE-GGA was carried out for YAsRu after structural relaxation.

abc: 4.602 4.602 4.602
angles: 60.00 60.00 60.00
Sites, in units of the cell vectors:
Ru: 0.500 0.500 0.500
Y: 0.250 0.250 0.250
As: 0.000 0.000 0.000

Computed properties:
- formation energy from the elements (eV/atom) = 0.26
- space-group type = F-43m, No. 216

A plane-wave DFT calculation with PBE-GGA was carried out for HoPdPb after structural relaxation.

abc: 3.815 7.896 13.928
angles: 90.00 90.00 90.00
Sites, in units of the cell vectors:
Pd: 0.500 0.923 0.909
Pd: 0.500 0.077 0.409
Pb: 0.500 0.840 0.250
Pd: 0.000 0.427 0.750
Pb: 0.500 0.559 0.614
Pb: 0.500 0.160 0.750
Ho: 0.000 0.213 0.947
Ho: 0.000 0.787 0.447
Pb: 0.500 0.441 0.386
Pd: 0.500 0.077 0.091
Ho: 0.000 0.176 0.250
Pb: 0.500 0.559 0.886
Ho: 0.000 0.824 0.750
Pd: 0.500 0.923 0.591
Pb: 0.500 0.441 0.114
Ho: 0.000 0.213 0.553
Pd: 0.000 0.573 0.250
Ho: 0.000 0.787 0.053

Computed properties:
- formation energy from the elements (eV/atom) = -0.69
- space-group type = Pmma, No. 51

A plane-wave DFT calculation with PBE-GGA was carried out for Mg5Si6 after structural relaxation.

abc: 5.296 5.448 14.142
angles: 98.46 96.84 89.14
Sites, in units of the cell vectors:
Mg: 0.147 0.445 0.876
Si: 0.561 0.210 0.185
Mg: 0.264 0.867 0.618
Si: 0.427 0.852 0.436
Mg: 0.070 0.474 0.121
Si: 0.534 0.267 0.750
Si: 0.142 0.560 0.323
Mg: 0.224 0.327 0.490
Si: 0.535 0.521 0.045
Mg: 0.132 0.047 0.262
Mg: 0.835 0.814 0.741
Mg: 0.676 0.276 0.380
Mg: 0.272 0.966 0.024
Si: 0.920 0.851 0.439
Si: 0.132 0.409 0.674
Mg: 0.623 0.717 0.251
Si: 0.639 0.623 0.880
Mg: 0.750 0.145 0.936
Si: 0.761 0.163 0.600
Si: 0.329 0.936 0.823
Si: 0.799 0.903 0.091
Si: 0.724 0.622 0.551

Computed properties:
- uncorrected formation energy (kJ/mol of atoms) = 8
- space-group type = P1, No. 1

A plane-wave DFT calculation with PBE-GGA was carried out for KAcTaO5 after structural relaxation.

abc: 6.593 6.593 8.641
angles: 103.32 103.32 106.12
Sites, in units of the cell vectors:
O: 0.114 0.683 0.868
K: 0.668 0.332 0.750
Ac: 0.000 0.000 0.000
O: 0.886 0.317 0.132
O: 0.683 0.114 0.368
O: 0.749 0.602 0.398
O: 0.602 0.749 0.898
Ac: 0.000 0.000 0.500
Ta: 0.680 0.320 0.250
O: 0.251 0.398 0.602
O: 0.317 0.886 0.632
K: 0.332 0.668 0.250
O: 0.068 0.932 0.250
O: 0.398 0.251 0.102
O: 0.932 0.068 0.750
Ta: 0.320 0.680 0.750

Computed properties:
- uncorrected formation energy (kJ/mol of atoms) = -247
- space-group type = C2/c, No. 15

A plane-wave DFT calculation with PBE-GGA was carried out for Cs2TaCu2S6 after structural relaxation.

abc: 7.029 7.029 8.246
angles: 64.77 64.77 60.00
Sites, in units of the cell vectors:
Cu: 0.603 0.603 0.191
Cu: 0.397 0.397 0.809
S: 0.761 0.227 0.785
S: 0.239 0.773 0.215
S: 0.227 0.761 0.785
S: 0.773 0.239 0.215
Cs: 0.223 0.223 0.331
Ta: 0.000 0.000 0.000
S: 0.773 0.773 0.215
S: 0.227 0.227 0.785
Cs: 0.777 0.777 0.669

Computed properties:
- uncorrected formation energy (kJ/mol of atoms) = -61
- space-group type = R-3m, No. 166

A plane-wave DFT calculation with PBE-GGA was carried out for FeRe2Pb after structural relaxation.

abc: 3.092 3.092 7.121
angles: 90.00 90.00 90.00
Sites, in units of the cell vectors:
Re: 0.000 0.000 0.068
Pb: 0.500 0.500 0.750
Re: 0.000 0.000 0.432
Fe: 0.500 0.500 0.250

Computed properties:
- formation energy from the elements (eV/atom) = 0.71
- space-group type = P4/mmm, No. 123

A plane-wave DFT calculation with PBE-GGA was carried out for SrHgIr2 after structural relaxation.

abc: 4.855 4.855 4.855
angles: 60.00 60.00 60.00
Sites, in units of the cell vectors:
Sr: 0.750 0.750 0.750
Ir: 0.000 0.000 0.000
Ir: 0.250 0.250 0.250
Hg: 0.500 0.500 0.500

Computed properties:
- formation energy from the elements (eV/atom) = 0.50
- space-group type = F-43m, No. 216

A plane-wave DFT calculation with PBE-GGA was carried out for Si2HgRu after structural relaxation.

abc: 5.213 5.213 3.191
angles: 71.20 71.20 111.79
Sites, in units of the cell vectors:
Si: 0.500 0.500 0.000
Ru: 0.000 0.500 0.500
Si: 0.000 0.000 0.000
Hg: 0.500 0.000 0.500

Computed properties:
- uncorrected formation energy (kJ/mol of atoms) = 47
- space-group type = C2/m, No. 12

A plane-wave DFT calculation with PBE-GGA was carried out for Tl3CuIr after structural relaxation.

abc: 5.299 5.299 5.299
angles: 90.00 90.00 90.00
Sites, in units of the cell vectors:
Ir: 0.000 0.000 0.000
Tl: 0.500 0.000 0.000
Tl: 0.000 0.000 0.500
Tl: 0.000 0.500 0.000
Cu: 0.500 0.500 0.500

Computed properties:
- formation energy from the elements (eV/atom) = 0.47
- space-group type = Pm-3m, No. 221

A plane-wave DFT calculation with PBE-GGA was carried out for Ca2CuNi2 after structural relaxation.

abc: 5.405 5.405 5.211
angles: 58.76 58.76 90.00
Sites, in units of the cell vectors:
Ni: 0.339 0.339 0.323
Cu: 0.000 0.000 0.000
Ni: 0.661 0.661 0.677
Ca: 0.750 0.250 0.500
Ca: 0.250 0.750 0.500

Computed properties:
- formation energy from the elements (eV/atom) = 0.12
- space-group type = I4/mmm, No. 139

A plane-wave DFT calculation with PBE-GGA was carried out for TaRe3Ni after structural relaxation.

abc: 4.722 4.722 4.722
angles: 90.00 90.00 90.00
Sites, in units of the cell vectors:
Ta: 0.000 0.000 0.000
Re: 0.000 0.500 0.000
Ni: 0.500 0.500 0.500
Re: 0.500 0.000 0.000
Re: 0.000 0.000 0.500

Computed properties:
- formation energy from the elements (eV/atom) = 2.58
- space-group type = Pm-3m, No. 221

A plane-wave DFT calculation with PBE-GGA was carried out for Y3Cd2Ga after structural relaxation.

abc: 3.669 3.669 11.222
angles: 90.00 90.00 90.00
Sites, in units of the cell vectors:
Cd: 0.500 0.500 0.170
Ga: 0.500 0.500 0.500
Y: 0.000 0.000 0.000
Y: 0.000 0.000 0.655
Cd: 0.500 0.500 0.830
Y: 0.000 0.000 0.345

Computed properties:
- formation energy from the elements (eV/atom) = -0.44
- space-group type = P4/mmm, No. 123

A plane-wave DFT calculation with PBE-GGA was carried out for Cs2GaCuAs after structural relaxation.

abc: 6.279 4.686 6.279
angles: 90.00 90.00 90.00
Sites, in units of the cell vectors:
Ga: 0.000 0.500 0.000
Cu: 0.000 0.000 0.000
Cs: 0.500 0.000 0.000
Cs: 0.000 0.000 0.500
As: 0.500 0.500 0.500

Computed properties:
- formation energy from the elements (eV/atom) = 0.29
- space-group type = P4/mmm, No. 123